# Ac4HgAu2 (PBE-GGA, relaxed)
data_Ac4HgAu2
_cell_length_a 10.241
_cell_length_b 10.241
_cell_length_c 9.376
_cell_angle_alpha 90.00
_cell_angle_beta 90.00
_cell_angle_gamma 90.00
_space_group_name_H-M_alt 'I -4 2 d'
_space_group_IT_number 122
_space_group_name_Hall 'I -4 2bw'
loop_
_atom_site_label
_atom_site_type_symbol
_atom_site_fract_x
_atom_site_fract_y
_atom_site_fract_z
Ac1 Ac 0.057 0.685 0.425
Hg1 Hg 0.000 0.000 0.500
Au1 Au 0.180 0.750 0.125
# Formation energy from the elements, eV per atom: -0.531
# VASP energy, eV per formula unit: -27.00

=====

# AcHgAu (PBE-GGA, relaxed)
data_AcHgAu
_cell_length_a 7.214
_cell_length_b 7.214
_cell_length_c 7.214
_cell_angle_alpha 90.00
_cell_angle_beta 90.00
_cell_angle_gamma 90.00
_space_group_name_H-M_alt 'F -4 3 m'
_space_group_IT_number 216
_space_group_name_Hall 'F -4 2 3'
loop_
_atom_site_label
_atom_site_type_symbol
_atom_site_fract_x
_atom_site_fract_y
_atom_site_fract_z
Ac1 Ac 0.000 0.000 0.000
Hg1 Hg 0.000 0.000 0.500
Au1 Au 0.250 0.250 0.750
# Formation energy from the elements, eV per atom: -0.583
# VASP energy, eV per formula unit: -9.44

=====

# AcHg4Au2 (PBE-GGA, relaxed)
data_AcHg4Au2
_cell_length_a 4.377
_cell_length_b 18.249
_cell_length_c 4.429
_cell_angle_alpha 90.00
_cell_angle_beta 90.00
_cell_angle_gamma 90.00
_space_group_name_H-M_alt 'C m m m'
_space_group_IT_number 65
_space_group_name_Hall '-C 2 2'
loop_
_atom_site_label
_atom_site_type_symbol
_atom_site_fract_x
_atom_site_fract_y
_atom_site_fract_z
Ac1 Ac 0.000 0.000 0.000
Hg1 Hg 0.000 0.184 0.500
Hg2 Hg 0.000 0.321 0.000
Au1 Au 0.000 0.426 0.500
# Formation energy from the elements, eV per atom: -0.311
# VASP energy, eV per formula unit: -14.05

=====

# Ac3Hg2Au8 (PBE-GGA, relaxed)
data_Ac3Hg2Au8
_cell_length_a 5.5673
_cell_length_b 5.5673
_cell_length_c 39.3719
_cell_angle_alpha 90.00
_cell_angle_beta 90.00
_cell_angle_gamma 120.00
_space_group_name_H-M_alt 'R -3 m'
_space_group_IT_number 166
_space_group_name_Hall '-R 3 2"'
loop_
_atom_site_label
_atom_site_type_symbol
_atom_site_fract_x
_atom_site_fract_y
_atom_site_fract_z
Ac1 Ac 0.0000 0.0000 0.0000
Ac2 Ac 0.0000 0.0000 0.2393
Hg1 Hg 0.0000 0.0000 0.3905
Au1 Au 0.0000 0.0000 0.3175
Au2 Au 0.0030 0.5015 0.8011
# Formation energy from the elements, eV per atom: -0.450
# VASP energy, eV per formula unit: -45.00

=====

# Ac2Hg8Au (PBE-GGA, relaxed)
data_Ac2Hg8Au
_cell_length_a 5.077
_cell_length_b 7.732
_cell_length_c 15.449
_cell_angle_alpha 90.00
_cell_angle_beta 90.00
_cell_angle_gamma 90.00
_space_group_name_H-M_alt 'I m m m'
_space_group_IT_number 71
_space_group_name_Hall '-I 2 2'
loop_
_atom_site_label
_atom_site_type_symbol
_atom_site_fract_x
_atom_site_fract_y
_atom_site_fract_z
Ac1 Ac 0.000 0.000 0.211
Hg1 Hg 0.000 0.205 0.000
Hg2 Hg 0.000 0.284 0.379
Hg3 Hg 0.000 0.500 0.142
Au1 Au 0.000 0.000 0.500
# Formation energy from the elements, eV per atom: -0.281
# VASP energy, eV per formula unit: -17.00

=====

# Ac3HgAu4 (PBE-GGA, relaxed)
data_Ac3HgAu4
_cell_length_a 4.298
_cell_length_b 7.387
_cell_length_c 15.465
_cell_angle_alpha 90.00
_cell_angle_beta 90.00
_cell_angle_gamma 90.00
_space_group_name_H-M_alt 'I m m m'
_space_group_IT_number 71
_space_group_name_Hall '-I 2 2'
loop_
_atom_site_label
_atom_site_type_symbol
_atom_site_fract_x
_atom_site_fract_y
_atom_site_fract_z
Ac1 Ac 0.000 0.000 0.000
Ac2 Ac 0.000 0.500 0.188
Hg1 Hg 0.000 0.000 0.500
Au1 Au 0.000 0.301 0.371
# Formation energy from the elements, eV per atom: -0.683
# VASP energy, eV per formula unit: -31.20

=====

# Ac2Hg3Au2 (PBE-GGA, relaxed)
data_Ac2Hg3Au2
_cell_length_a 11.235
_cell_length_b 4.417
_cell_length_c 7.871
_cell_angle_alpha 90.00
_cell_angle_beta 90.46
_cell_angle_gamma 90.00
_space_group_name_H-M_alt 'C 1 2/m 1'
_space_group_IT_number 12
_space_group_name_Hall '-C 2y'
loop_
_atom_site_label
_atom_site_type_symbol
_atom_site_fract_x
_atom_site_fract_y
_atom_site_fract_z
Ac1 Ac 0.122 0.000 0.309
Hg1 Hg 0.000 0.500 0.000
Hg2 Hg 0.179 0.000 0.866
Au1 Au 0.098 0.500 0.618
# Formation energy from the elements, eV per atom: -0.553
# VASP energy, eV per formula unit: -19.55

=====

# Ac6Hg3Au (PBE-GGA, relaxed)
data_Ac6Hg3Au
_cell_length_a 7.463
_cell_length_b 9.171
_cell_length_c 13.169
_cell_angle_alpha 90.00
_cell_angle_beta 121.71
_cell_angle_gamma 90.00
_space_group_name_H-M_alt 'P 1 21/c 1'
_space_group_IT_number 14
_space_group_name_Hall '-P 2ybc'
loop_
_atom_site_label
_atom_site_type_symbol
_atom_site_fract_x
_atom_site_fract_y
_atom_site_fract_z
Ac1 Ac 0.070 0.070 0.246
Ac2 Ac 0.202 0.684 0.070
Ac3 Ac 0.414 0.168 0.065
Hg1 Hg 0.321 0.118 0.748
Hg2 Hg 0.500 0.000 0.500
Au1 Au 0.000 0.000 0.000
# Formation energy from the elements, eV per atom: -0.329
# VASP energy, eV per formula unit: -32.13

=====

# Ac3Hg2Au6 (PBE-GGA, relaxed)
data_Ac3Hg2Au6
_cell_length_a 4.579
_cell_length_b 4.579
_cell_length_c 27.829
_cell_angle_alpha 90.00
_cell_angle_beta 90.00
_cell_angle_gamma 90.00
_space_group_name_H-M_alt 'I 4/m m m'
_space_group_IT_number 139
_space_group_name_Hall '-I 4 2'
loop_
_atom_site_label
_atom_site_type_symbol
_atom_site_fract_x
_atom_site_fract_y
_atom_site_fract_z
Ac1 Ac 0.000 0.000 0.000
Ac2 Ac 0.000 0.000 0.197
Hg1 Hg 0.000 0.000 0.448
Au1 Au 0.000 0.000 0.315
Au2 Au 0.000 0.500 0.112
# Formation energy from the elements, eV per atom: -0.537
# VASP energy, eV per formula unit: -38.50

=====

# AcHgAu (PBE-GGA, relaxed)
data_AcHgAu
_cell_length_a 4.095
_cell_length_b 4.095
_cell_length_c 10.072
_cell_angle_alpha 90.00
_cell_angle_beta 90.00
_cell_angle_gamma 90.00
_space_group_name_H-M_alt 'I 4 m m'
_space_group_IT_number 107
_space_group_name_Hall 'I 4 -2'
loop_
_atom_site_label
_atom_site_type_symbol
_atom_site_fract_x
_atom_site_fract_y
_atom_site_fract_z
Ac1 Ac 0.000 0.000 0.000
Hg1 Hg 0.000 0.000 0.678
Au1 Au 0.000 0.000 0.339
# Formation energy from the elements, eV per atom: -0.581
# VASP energy, eV per formula unit: -9.43

=====

# Ac5Hg2Au2 (PBE-GGA, relaxed)
data_Ac5Hg2Au2
_cell_length_a 17.354
_cell_length_b 8.094
_cell_length_c 8.768
_cell_angle_alpha 90.00
_cell_angle_beta 90.00
_cell_angle_gamma 90.00
_space_group_name_H-M_alt 'C m c e'
_space_group_IT_number 64
_space_group_name_Hall '-C 2ac 2'
loop_
_atom_site_label
_atom_site_type_symbol
_atom_site_fract_x
_atom_site_fract_y
_atom_site_fract_z
Ac1 Ac 0.000 0.000 0.000
Ac2 Ac 0.134 0.166 0.328
Hg1 Hg 0.211 0.000 0.000
Au1 Au 0.000 0.126 0.629
# Formation energy from the elements, eV per atom: -0.522
# VASP energy, eV per formula unit: -32.40

=====

# AcHgAu6 (PBE-GGA, relaxed)
data_AcHgAu6
_cell_length_a 5.616
_cell_length_b 5.616
_cell_length_c 5.616
_cell_angle_alpha 90.00
_cell_angle_beta 90.00
_cell_angle_gamma 90.00
_space_group_name_H-M_alt 'P m -3'
_space_group_IT_number 200
_space_group_name_Hall '-P 2 2 3'
loop_
_atom_site_label
_atom_site_type_symbol
_atom_site_fract_x
_atom_site_fract_y
_atom_site_fract_z
Ac1 Ac 0.000 0.000 0.000
Hg1 Hg 0.500 0.500 0.500
Au1 Au 0.000 0.255 0.500
# Formation energy from the elements, eV per atom: -0.192
# VASP energy, eV per formula unit: -25.61

=====

What is the formation energy from the elements in the second record?
-0.583 eV per atom

=====

The lowest VASP energy belongs to which entry?
Ac3Hg2Au8